Record 1
Below is crystalline La6Nd4In at its relaxed geometry, with properties calculated at the GGA-PBE level. Values from VASP.

Structure (Quantum ESPRESSO input):
```
&SYSTEM
  ibrav = 0, nat = 11, ntyp = 3
/
ATOMIC_SPECIES
La 138.91 La.upf
Nd 144.24 Nd.upf
In 114.82 In.upf
CELL_PARAMETERS angstrom
-3.3872 3.3872 8.2895
3.3872 -3.3872 8.2895
3.3872 3.3872 -8.2895
ATOMIC_POSITIONS angstrom
La 3.3872 0.0000 0.0000
La 2.2997 -2.2997 6.3862
La 1.0874 1.0874 1.9033
La 0.0000 3.3872 0.0000
La -2.2997 2.2997 6.3862
La 2.2997 2.2997 10.1928
Nd 2.1737 2.1737 -3.0093
Nd 1.2135 1.2135 5.2802
Nd 1.2135 -1.2135 11.2988
Nd -1.2135 1.2135 11.2988
In 0.0000 0.0000 8.2895
```

Properties
VASP energy, eV/atom: -4.56
Volume, Å³ per cell: 380.4
Size of the total moment, μB/f.u.: 0.00
DFT formation energy, eV/atom: 0.108


Record 2
Below is crystalline CeHoTc at its relaxed geometry, with properties calculated at the GGA-PBE level. Values from VASP.

Structure (Quantum ESPRESSO input):
```
&SYSTEM
  ibrav = 0, nat = 3, ntyp = 3
/
ATOMIC_SPECIES
Ce 140.12 Ce.upf
Ho 164.93 Ho.upf
Tc 98.00 Tc.upf
CELL_PARAMETERS angstrom
4.7156 0.0000 0.0000
-2.3578 4.0839 0.0000
0.0000 0.0000 3.4888
ATOMIC_POSITIONS angstrom
Ce 0.0000 0.0000 0.0000
Ho 2.3578 1.3613 1.9807
Tc 0.0000 2.7226 0.7859
```

Properties
VASP energy, eV/atom: -6.91
Volume, Å³ per cell: 67.2
Size of the total moment, μB/f.u.: 0.00
DFT formation energy, eV/atom: 0.048


Record 3
Below is crystalline VCuW at its relaxed geometry, with properties calculated at the GGA-PBE level. Values from VASP.

Structure (Quantum ESPRESSO input):
```
&SYSTEM
  ibrav = 0, nat = 3, ntyp = 3
/
ATOMIC_SPECIES
V 50.94 V.upf
Cu 63.55 Cu.upf
W 183.84 W.upf
CELL_PARAMETERS angstrom
4.4339 0.0000 0.0000
-2.2170 3.8399 0.0000
0.0000 0.0000 2.4864
ATOMIC_POSITIONS angstrom
V 0.0000 0.0000 0.0000
Cu 2.2170 1.2800 1.8686
W 0.0000 2.5599 0.9176
```

Properties
VASP energy, eV/atom: -8.46
Volume, Å³ per cell: 42.3
Size of the total moment, μB/f.u.: 0.00
DFT formation energy, eV/atom: 0.258